1.
A plane-wave DFT calculation with PBE was carried out for an optimized crystal structure of RbTbPO.

Lattice parameters (Å, degrees): 5.8182 5.8182 5.1606 90.00 90.00 90.00
With the nearest neighbours (Å) after each atom.
Fractional coordinates of all 8 atoms:
1 Rb 0.2500 0.2500 0.0013  2 P 2.58
2 Rb 0.7500 0.7500 0.9987  2 P 2.58
3 Tb 0.2500 0.7500 0.5000  2 O 2.58
4 Tb 0.7500 0.2500 0.5000  2 O 2.58
5 P 0.2500 0.2500 0.5016  2 Rb 2.58
6 P 0.7500 0.7500 0.4984  2 Rb 2.58
7 O 0.2500 0.7500 0.0000  2 Tb 2.58
8 O 0.7500 0.2500 0.0000  2 Tb 2.58

SG: P4/nmm (129)
Energy above the most stable polymorph in this dataset: 536 meV/atom

2.
A plane-wave DFT calculation with PBE was carried out for an optimized crystal structure of RbTbPO.

Lattice parameters (Å, degrees): 3.4713 7.9483 7.8490 90.00 90.00 90.00
With the nearest neighbours (Å) after each atom.
Fractional coordinates of all 8 atoms:
1 Rb 0.0000 0.0526 0.0000  2 O 2.75-2.92
2 Rb 0.0000 0.9474 0.5000  2 O 2.75-2.92
3 Tb 0.5000 0.3790 0.3642  2 O 2.11
4 Tb 0.5000 0.6210 0.8642  2 O 2.11
5 P 0.5000 0.3017 0.7152  2 Tb 2.79-2.82
6 P 0.5000 0.6983 0.2152  2 Tb 2.79-2.82
7 O 0.0000 0.2489 0.2880  2 Tb 2.11
8 O 0.0000 0.7511 0.7880  2 Tb 2.11

SG: Pmc2_1 (26)
Energy above the most stable polymorph in this dataset: 0 meV/atom

3.
A plane-wave DFT calculation with PBE was carried out for an optimized crystal structure of RbTbPO.

Lattice parameters (Å, degrees): 4.7857 8.0736 6.6879 90.00 90.00 90.00
With the nearest neighbours (Å) after each atom.
Fractional coordinates of all 8 atoms:
1 Rb 0.0000 0.2080 0.0000  2 O 3.01, 1 P 3.28
2 Rb 0.0000 0.7920 0.5000  2 O 3.01, 1 P 3.28
3 Tb 0.5000 0.3730 0.5740  2 O 2.11-2.14
4 Tb 0.5000 0.6270 0.0740  2 O 2.11-2.14
5 P 0.0000 0.2106 0.4906  2 Tb 2.79
6 P 0.0000 0.7894 0.9906  2 Tb 2.79
7 O 0.5000 0.4155 0.8891  2 Tb 2.11-2.14
8 O 0.5000 0.5845 0.3891  2 Tb 2.11-2.14

SG: Pmc2_1 (26)
Energy above the most stable polymorph in this dataset: 59 meV/atom

4.
A plane-wave DFT calculation with PBE was carried out for an optimized crystal structure of RbTcPO.

Lattice parameters (Å, degrees): 3.2970 7.2268 7.3161 90.00 90.00 90.00
With the nearest neighbours (Å) after each atom.
Fractional coordinates of all 8 atoms:
1 Rb 0.0000 0.1732 0.0000  2 O 2.75-2.83
2 Rb 0.0000 0.8268 0.5000  2 O 2.75-2.83
3 Tc 0.5000 0.3357 0.4223  2 O 1.98, 1 P 2.21
4 Tc 0.5000 0.6643 0.9223  2 O 1.98, 1 P 2.21
5 P 0.5000 0.4525 0.7045  2 Tc 2.21-2.23
6 P 0.5000 0.5475 0.2045  2 Tc 2.21-2.23
7 O 0.0000 0.1894 0.3863  2 Tc 1.98
8 O 0.0000 0.8106 0.8863  2 Tc 1.98

SG: Pmc2_1 (26)
Energy above the most stable polymorph in this dataset: 23 meV/atom

5.
A plane-wave DFT calculation with PBE was carried out for an optimized crystal structure of RbTcPO.

Lattice parameters (Å, degrees): 4.2480 4.2480 9.9791 90.00 90.00 90.00
With the nearest neighbours (Å) after each atom.
Fractional coordinates of all 8 atoms:
1 Rb 0.2500 0.7500 0.0000  4 Rb 3.00, 4 P 3.21
2 Rb 0.7500 0.2500 0.0000  4 Rb 3.00, 4 P 3.21
3 Tc 0.2500 0.2500 0.4574  1 P 2.15, 4 O 2.17
4 Tc 0.7500 0.7500 0.5426  1 P 2.15, 4 O 2.17
5 P 0.2500 0.2500 0.2418  1 Tc 2.15
6 P 0.7500 0.7500 0.7582  1 Tc 2.15
7 O 0.2500 0.7500 0.5000  4 Tc 2.17
8 O 0.7500 0.2500 0.5000  4 Tc 2.17

SG: P4/nmm (129)
Energy above the most stable polymorph in this dataset: 768 meV/atom

6.
A plane-wave DFT calculation with PBE was carried out for an optimized crystal structure of RbTcPO.

Lattice parameters (Å, degrees): 3.5021 8.1389 6.5738 90.00 90.00 90.00
With the nearest neighbours (Å) after each atom.
Fractional coordinates of all 8 atoms:
1 Rb 0.0000 0.1881 0.0000  2 O 2.82
2 Rb 0.0000 0.8119 0.5000  2 O 2.82
3 Tc 0.5000 0.4053 0.5586  2 O 1.91-1.92
4 Tc 0.5000 0.5947 0.0586  2 O 1.91-1.92
5 P 0.0000 0.2316 0.4982  2 Tc 2.29
6 P 0.0000 0.7684 0.9982  2 Tc 2.29
7 O 0.5000 0.4312 0.8492  2 Tc 1.91-1.92
8 O 0.5000 0.5688 0.3492  2 Tc 1.91-1.92

SG: Pmc2_1 (26)
Energy above the most stable polymorph in this dataset: 0 meV/atom

7.
A plane-wave DFT calculation with PBE was carried out for an optimized crystal structure of RbTcPO.

Lattice parameters (Å, degrees): 4.1401 4.1401 10.9597 90.00 90.00 90.00
With the nearest neighbours (Å) after each atom.
Fractional coordinates of all 8 atoms:
1 Rb 0.2500 0.2500 0.1619  4 O 2.73
2 Rb 0.7500 0.7500 0.8381  4 O 2.73
3 Tc 0.2500 0.7500 0.5000  4 P 2.33
4 Tc 0.7500 0.2500 0.5000  4 P 2.33
5 P 0.2500 0.2500 0.5970  4 Tc 2.33
6 P 0.7500 0.7500 0.4030  4 Tc 2.33
7 O 0.2500 0.7500 0.0000  4 Rb 2.73, 4 O 2.93
8 O 0.7500 0.2500 0.0000  4 Rb 2.73, 4 O 2.93

SG: P4/nmm (129)
Energy above the most stable polymorph in this dataset: 434 meV/atom

8.
A plane-wave DFT calculation with PBE was carried out for an optimized crystal structure of RbTmPO.

Lattice parameters (Å, degrees): 3.4080 7.8381 7.8290 90.00 90.00 90.00
With the nearest neighbours (Å) after each atom.
Fractional coordinates of all 8 atoms:
1 Rb 0.0000 0.0523 0.0000  2 O 2.75-2.91
2 Rb 0.0000 0.9477 0.5000  2 O 2.75-2.91
3 Tm 0.5000 0.3811 0.3642  2 O 2.06
4 Tm 0.5000 0.6189 0.8642  2 O 2.06
5 P 0.5000 0.3050 0.7102  2 Tm 2.74-2.77
6 P 0.5000 0.6950 0.2102  2 Tm 2.74-2.77
7 O 0.0000 0.2530 0.2884  2 Tm 2.06
8 O 0.0000 0.7470 0.7884  2 Tm 2.06

SG: Pmc2_1 (26)
Energy above the most stable polymorph in this dataset: 0 meV/atom

9.
A plane-wave DFT calculation with PBE was carried out for an optimized crystal structure of RbTmPO.

Lattice parameters (Å, degrees): 5.7129 5.7129 5.1475 90.00 90.00 90.00
With the nearest neighbours (Å) after each atom.
Fractional coordinates of all 8 atoms:
1 Rb 0.2500 0.2500 0.0022  2 P 2.57-2.58, 4 O 2.86
2 Rb 0.7500 0.7500 0.9978  2 P 2.57-2.58, 4 O 2.86
3 Tm 0.2500 0.7500 0.5000  2 O 2.57, 4 P 2.86
4 Tm 0.7500 0.2500 0.5000  2 O 2.57, 4 P 2.86
5 P 0.2500 0.2500 0.5025  2 Rb 2.57-2.58, 4 Tm 2.86
6 P 0.7500 0.7500 0.4975  2 Rb 2.57-2.58, 4 Tm 2.86
7 O 0.2500 0.7500 0.0000  2 Tm 2.57, 4 Rb 2.86
8 O 0.7500 0.2500 0.0000  2 Tm 2.57, 4 Rb 2.86

SG: P4/nmm (129)
Energy above the most stable polymorph in this dataset: 618 meV/atom

10.
A plane-wave DFT calculation with PBE was carried out for an optimized crystal structure of RbTmPO.

Lattice parameters (Å, degrees): 4.0719 4.0719 10.5429 90.00 90.00 90.00
With the nearest neighbours (Å) after each atom.
Fractional coordinates of all 8 atoms:
1 Rb 0.2500 0.7500 0.0000  4 Rb 2.88
2 Rb 0.7500 0.2500 0.0000  4 Rb 2.88
3 Tm 0.2500 0.2500 0.4103  4 O 2.24
4 Tm 0.7500 0.7500 0.5897  4 O 2.24
5 P 0.2500 0.2500 0.7613  4 Rb 3.24, 4 Tm 3.40, 4 O 3.43
6 P 0.7500 0.7500 0.2387  4 Rb 3.24, 4 Tm 3.40, 4 O 3.43
7 O 0.2500 0.7500 0.5000  4 Tm 2.24
8 O 0.7500 0.2500 0.5000  4 Tm 2.24

SG: P4/nmm (129)
Energy above the most stable polymorph in this dataset: 259 meV/atom

11.
A plane-wave DFT calculation with PBE was carried out for an optimized crystal structure of Rb2ZrP2O8.

Lattice parameters (Å, degrees): 5.1720 5.1720 9.1785 90.00 90.00 120.00
With the nearest neighbours (Å) after each atom.
Fractional coordinates of all 13 atoms:
1 Rb 0.3333 0.6667 0.1478  4 O 2.66-2.90
2 Rb 0.6667 0.3333 0.8522  4 O 2.66-2.90
3 Zr 0.0000 0.0000 0.5000  6 O 2.09
4 P 0.3333 0.6667 0.6923  4 O 1.52-1.55
5 P 0.6667 0.3333 0.3077  4 O 1.52-1.55
6 O 0.0849 0.7244 0.6339  1 P 1.55
7 O 0.2756 0.3605 0.6339  1 P 1.55
8 O 0.3333 0.6667 0.8576  1 P 1.52
9 O 0.3605 0.0849 0.3661  1 P 1.55
10 O 0.6395 0.9151 0.6339  1 P 1.55
11 O 0.6667 0.3333 0.1424  1 P 1.52
12 O 0.7244 0.6395 0.3661  1 P 1.55
13 O 0.9151 0.2756 0.3661  1 P 1.55

Electronic total energy: -94.3 eV per cell
SG: P-3 (147)

12.
A plane-wave DFT calculation with PBE was carried out for an optimized crystal structure of Re2P2O11.

Lattice parameters (Å, degrees): 15.1168 6.3206 7.7168 90.00 90.00 90.00
With the nearest neighbours (Å) after each atom.
Fractional coordinates of all 60 atoms:
1 Re 0.0243 0.2500 0.2348  2 O 1.70-1.85
2 Re 0.2125 0.2500 0.9379  2 O 1.70-1.85
3 Re 0.2875 0.7500 0.4379  2 O 1.70-1.85
4 Re 0.4757 0.7500 0.7348  2 O 1.70-1.85
5 Re 0.5243 0.2500 0.2652  2 O 1.70-1.85
6 Re 0.7125 0.2500 0.5621  2 O 1.70-1.85
7 Re 0.7875 0.7500 0.0621  2 O 1.70-1.85
8 Re 0.9757 0.7500 0.7652  2 O 1.70-1.85
9 P 0.0649 0.7500 0.3515  4 O 1.53
10 P 0.2378 0.2500 0.3721  4 O 1.53-1.54
11 P 0.2622 0.7500 0.8721  4 O 1.53-1.54
12 P 0.4351 0.2500 0.8515  4 O 1.53
13 P 0.5649 0.7500 0.1485  4 O 1.53
14 P 0.7378 0.2500 0.1279  4 O 1.53-1.54
15 P 0.7622 0.7500 0.6279  4 O 1.53-1.54
16 P 0.9351 0.2500 0.6485  4 O 1.53
17 O 0.0266 0.5611 0.2534  1 P 1.53
18 O 0.0266 0.9389 0.2534  1 P 1.53
19 O 0.0397 0.7500 0.5429  1 P 1.53
20 O 0.0652 0.7500 0.8990  1 Re 1.70
21 O 0.1062 0.2500 0.0572  2 Re 1.85
22 O 0.1360 0.2500 0.3860  1 P 1.54
23 O 0.1628 0.2500 0.7400  1 Re 1.70
24 O 0.1660 0.7500 0.3413  1 P 1.53
25 O 0.2233 0.5583 0.9698  1 P 1.54
26 O 0.2233 0.9417 0.9698  1 P 1.54
27 O 0.2310 0.7500 0.6833  1 P 1.53
28 O 0.2690 0.2500 0.1833  1 P 1.53
29 O 0.2767 0.0583 0.4698  1 P 1.54
30 O 0.2767 0.4417 0.4698  1 P 1.54
31 O 0.3340 0.2500 0.8413  1 P 1.53
32 O 0.3372 0.7500 0.2400  1 Re 1.70
33 O 0.3640 0.7500 0.8860  1 P 1.54
34 O 0.3938 0.7500 0.5572  2 Re 1.85
35 O 0.4348 0.2500 0.3990  1 Re 1.70
36 O 0.4603 0.2500 0.0429  1 P 1.53
37 O 0.4734 0.0611 0.7534  1 P 1.53
38 O 0.4734 0.4389 0.7534  1 P 1.53
39 O 0.5266 0.5611 0.2466  1 P 1.53
40 O 0.5266 0.9389 0.2466  1 P 1.53
41 O 0.5397 0.7500 0.9571  1 P 1.53
42 O 0.5652 0.7500 0.6010  1 Re 1.70
43 O 0.6062 0.2500 0.4428  2 Re 1.85
44 O 0.6360 0.2500 0.1140  1 P 1.54
45 O 0.6628 0.2500 0.7600  1 Re 1.70
46 O 0.6660 0.7500 0.1587  1 P 1.53
47 O 0.7233 0.5583 0.5302  1 P 1.54
48 O 0.7233 0.9417 0.5302  1 P 1.54
49 O 0.7310 0.7500 0.8167  1 P 1.53
50 O 0.7690 0.2500 0.3167  1 P 1.53
51 O 0.7767 0.0583 0.0302  1 P 1.54
52 O 0.7767 0.4417 0.0302  1 P 1.54
53 O 0.8340 0.2500 0.6587  1 P 1.53
54 O 0.8372 0.7500 0.2600  1 Re 1.70
55 O 0.8640 0.7500 0.6140  1 P 1.54
56 O 0.8938 0.7500 0.9428  2 Re 1.85
57 O 0.9348 0.2500 0.1010  1 Re 1.70
58 O 0.9603 0.2500 0.4571  1 P 1.53
59 O 0.9734 0.0611 0.7466  1 P 1.53
60 O 0.9734 0.4389 0.7466  1 P 1.53

Electronic total energy: -466.6 eV per cell
SG: Pnma (62)